Entry 1:
DFT (PBEsol) results for a geometry-optimized Li2SiRh structure.

a = 3.4402 Å, b = 3.4402 Å, c = 18.6103 Å
α = 90.00°, β = 90.00°, γ = 90.00°
Space group I-42d (No. 122)
Asymmetric unit:
1 Li 0.2482 0.2500 0.1250
2 Si 0.0000 0.0000 0.5000
3 Rh 0.0000 0.0000 0.0000

Values from the calculation:
ΔE_f (raw)	-0.8	eV per formula unit
E	-4.65	eV/atom

Entry 2:
DFT (PBEsol) results for a geometry-optimized Te4O9 structure.

a = 9.3368 Å, b = 9.3368 Å, c = 14.5136 Å
α = 90.00°, β = 90.00°, γ = 120.00°
Space group R-3 (No. 148, hexagonal axes)
Asymmetric unit:
1 Te 0.0000 0.0000 0.1810
2 Te 0.0201 0.2808 0.5810
3 O 0.0206 0.1749 0.2601
4 O 0.0262 0.7724 0.5478
5 O 0.0323 0.1805 0.9010

Values from the calculation:
ΔE_f (raw)	-13.0	eV per formula unit
E	-5.72	eV/atom

Entry 3:
DFT (PBEsol) results for a geometry-optimized BiP2AuCl structure.

a = 5.2403 Å, b = 5.2403 Å, c = 5.1138 Å
α = 90.00°, β = 90.00°, γ = 90.00°
Space group P4/mmm (No. 123)
Asymmetric unit:
1 Bi 0.0000 0.0000 0.0000
2 P 0.0000 0.5000 0.0000
3 Au 0.5000 0.5000 0.5000
4 Cl 0.0000 0.0000 0.5000

Values from the calculation:
ΔE_f (raw)	5.9	eV per formula unit
E	-3.18	eV/atom

Entry 4:
DFT (PBEsol) results for a geometry-optimized LiCa3Pt structure.

a = 5.5415 Å, b = 5.5415 Å, c = 5.5415 Å
α = 90.00°, β = 90.00°, γ = 90.00°
Space group Pm-3m (No. 221)
Asymmetric unit:
1 Li 0.0000 0.0000 0.0000
2 Ca 0.0000 0.5000 0.5000
3 Pt 0.5000 0.5000 0.5000

Values from the calculation:
E	-3.45	eV/atom

Entry 5:
DFT (PBEsol) results for a geometry-optimized Cr3MoF structure.

a = 3.8653 Å, b = 3.8653 Å, c = 3.8653 Å
α = 90.00°, β = 90.00°, γ = 90.00°
Space group Pm-3m (No. 221)
Asymmetric unit:
1 Cr 0.0000 0.0000 0.5000
2 Mo 0.5000 0.5000 0.5000
3 F 0.0000 0.0000 0.0000

Values from the calculation:
ΔE_f (raw)	2.2	eV per formula unit
E	-8.45	eV/atom

Entry 6:
DFT (PBEsol) results for a geometry-optimized NiPdCl3 structure.

a = 4.5113 Å, b = 4.5113 Å, c = 4.5113 Å
α = 90.00°, β = 90.00°, γ = 90.00°
Space group Pm-3m (No. 221)
Asymmetric unit:
1 Ni 0.0000 0.0000 0.0000
2 Pd 0.5000 0.5000 0.5000
3 Cl 0.0000 0.0000 0.5000

Values from the calculation:
ΔE_f (raw)	0.5	eV per formula unit
E	-3.54	eV/atom

Entry 7:
DFT (PBEsol) results for a geometry-optimized La2Ga12Pd structure.

a = 6.0701 Å, b = 6.0701 Å, c = 15.4535 Å
α = 90.00°, β = 90.00°, γ = 90.00°
Space group P4/nbm (No. 125, origin choice 2)
Asymmetric unit:
1 La 0.2500 0.7500 0.2459
2 Ga 0.0003 0.9997 0.0881
3 Ga 0.0749 0.5749 0.4299
4 Ga 0.2500 0.2500 0.1844
5 Ga 0.2500 0.2500 0.3432
6 Pd 0.2500 0.7500 0.0000

Values from the calculation:
E	-4.28	eV/atom

Entry 8:
DFT (PBEsol) results for a geometry-optimized LiZrNbCo2 structure.

a = 4.0119 Å, b = 4.0119 Å, c = 4.2732 Å
α = 90.00°, β = 90.00°, γ = 90.00°
Space group P4/mmm (No. 123)
Asymmetric unit:
1 Li 0.0000 0.0000 0.0000
2 Zr 0.0000 0.0000 0.5000
3 Nb 0.5000 0.5000 0.5000
4 Co 0.0000 0.5000 0.0000

Values from the calculation:
E	-6.68	eV/atom

Entry 9:
DFT (PBEsol) results for a geometry-optimized SrScAu2 structure.

a = 4.8886 Å, b = 5.1640 Å, c = 7.1169 Å
α = 90.00°, β = 90.00°, γ = 90.00°
Space group Immm (No. 71)
Asymmetric unit:
1 Sr 0.0000 0.0000 0.0000
2 Sc 0.0000 0.0000 0.5000
3 Au 0.0000 0.5000 0.2326

Values from the calculation:
distance to the lowest polymorph of the same formula	165	meV per atom
E	-4.64	eV/atom

Entry 10:
DFT (PBEsol) results for a geometry-optimized Ba3LiBe structure.

a = 6.2570 Å, b = 6.2570 Å, c = 6.2570 Å
α = 90.00°, β = 90.00°, γ = 90.00°
Space group Pm-3m (No. 221)
Asymmetric unit:
1 Ba 0.0000 0.0000 0.5000
2 Li 0.5000 0.5000 0.5000
3 Be 0.0000 0.0000 0.0000

Values from the calculation:
E	-2.10	eV/atom

Entry 11:
DFT (PBEsol) results for a geometry-optimized SiSeN2Cl structure.

a = 3.5023 Å, b = 3.5023 Å, c = 5.7306 Å
α = 90.00°, β = 90.00°, γ = 90.00°
Space group P4/mmm (No. 123)
Asymmetric unit:
1 Si 0.0000 0.0000 0.0000
2 Se 0.0000 0.0000 0.5000
3 N 0.0000 0.5000 0.0000
4 Cl 0.5000 0.5000 0.5000

Values from the calculation:
ΔE_f (raw)	2.6	eV per formula unit
E	-5.20	eV/atom

Entry 12:
DFT (PBEsol) results for a geometry-optimized YZrSi2 structure.

a = 3.7831 Å, b = 3.9420 Å, c = 10.1790 Å
α = 90.00°, β = 90.00°, γ = 90.00°
Space group Amm2 (No. 38)
Asymmetric unit:
1 Y 0.0000 0.0000 0.0000
2 Zr 0.5000 0.0000 0.2831
3 Si 0.0000 0.0000 0.7246
4 Si 0.5000 0.0000 0.5687

Values from the calculation:
distance to the lowest polymorph of the same formula	0	meV per atom
ΔE_f (raw)	-3.7	eV per formula unit
E	-7.77	eV/atom

- Which of these has the highest E?
  Ba3LiBe